# 1
The following is a DFT calculation (PBE-GGA) of crystalline Er2Tm13 at its relaxed geometry.

Geometry as CIF:
```
data_Er2Tm13
_chemical_formula_sum 'Er2 Tm13'
_cell_length_a 8.7715
_cell_length_b 8.7715
_cell_length_c 9.2707
_cell_angle_alpha 61.77
_cell_angle_beta 61.77
_cell_angle_gamma 60.00
_symmetry_space_group_name_H-M 'P 1'
_symmetry_Int_Tables_number 1
loop_
_symmetry_equiv_pos_as_xyz
'x,y,z'
loop_
_atom_site_label
_atom_site_type_symbol
_atom_site_fract_x
_atom_site_fract_y
_atom_site_fract_z
Tm1 Tm 0.9866 0.3467 0.6800
Tm2 Tm 0.9866 0.9866 0.6800
Tm3 Tm 0.3930 0.7576 0.0917
Tm4 Tm 0.7576 0.3930 0.0917
Tm5 Tm 0.0134 0.0134 0.3200
Tm6 Tm 0.2424 0.6070 0.9083
Tm7 Tm 0.6533 0.0134 0.3200
Tm8 Tm 0.0134 0.6533 0.3200
Tm9 Tm 0.7576 0.7576 0.0917
Tm10 Tm 0.5000 0.5000 0.5000
Tm11 Tm 0.3467 0.9866 0.6800
Tm12 Tm 0.2424 0.2424 0.9083
Tm13 Tm 0.6070 0.2424 0.9083
Er1 Er 0.7596 0.7596 0.7211
Er2 Er 0.2404 0.2404 0.2789
```

Values from the calculation:
DFT total energy (eV per cell): -58.09
Excess energy over the best structure of this formula in the dataset (meV/atom): 555
Formation enthalpy at 0 K (meV per atom): 611
Space-group type: R-3m

=====

# 2
The following is a DFT calculation (PBE-GGA) of crystalline Cs3Zn2Au2 at its relaxed geometry.

Geometry as CIF:
```
data_Cs3Zn2Au2
_chemical_formula_sum 'Cs3 Zn2 Au2'
_cell_length_a 5.5037
_cell_length_b 4.7430
_cell_length_c 11.0589
_cell_angle_alpha 102.38
_cell_angle_beta 104.41
_cell_angle_gamma 90.00
_symmetry_space_group_name_H-M 'P 1'
_symmetry_Int_Tables_number 1
loop_
_symmetry_equiv_pos_as_xyz
'x,y,z'
loop_
_atom_site_label
_atom_site_type_symbol
_atom_site_fract_x
_atom_site_fract_y
_atom_site_fract_z
Cs1 Cs 0.8127 0.3127 0.6254
Cs2 Cs 0.0000 0.0000 0.0000
Cs3 Cs 0.1873 0.6873 0.3746
Zn1 Zn 0.5651 0.5651 0.1303
Zn2 Zn 0.4349 0.4349 0.8697
Au1 Au 0.6223 0.1223 0.2446
Au2 Au 0.3777 0.8777 0.7554
```

Values from the calculation:
DFT total energy (eV per cell): -12.80
Formation enthalpy at 0 K (meV per atom): -163
Space-group type: Immm